Entry 1:
Computed, not measured: crystalline CaReRu2 at its relaxed geometry at the PBE-GGA level of DFT.

ΔE_f, eV per atom: 0.7178
Symmetry: F-43m (216)
E above lowest polymorph, meV/atom: 465
Total moment, μB/f.u.: 1.4

The structure in CIF format:
```
data_CaReRu2
_chemical_formula_sum 'Ca1 Re1 Ru2'
_cell_length_a 4.508
_cell_length_b 4.508
_cell_length_c 4.508
_cell_angle_alpha 60.00
_cell_angle_beta 60.00
_cell_angle_gamma 60.00
_space_group_name_H-M_alt 'P 1'
_space_group_IT_number 1
loop_
_space_group_symop_operation_xyz
'x,y,z'
loop_
_atom_site_label
_atom_site_type_symbol
_atom_site_fract_x
_atom_site_fract_y
_atom_site_fract_z
Ru1 Ru 0.250 0.250 0.250
Ru2 Ru 0.000 0.000 0.000
Re1 Re 0.750 0.750 0.750
Ca1 Ca 0.500 0.500 0.500
```



Entry 2:
Computed, not measured: crystalline CaRe2Ru at its relaxed geometry at the PBE-GGA level of DFT.

ΔE_f, eV per atom: 0.5144
Symmetry: R3m (160)
E above lowest polymorph, meV/atom: 117
Total moment, μB/f.u.: 0.0

The structure in CIF format:
```
data_CaRe2Ru
_chemical_formula_sum 'Ca1 Re2 Ru1'
_cell_length_a 9.579
_cell_length_b 9.579
_cell_length_c 9.579
_cell_angle_alpha 17.17
_cell_angle_beta 17.17
_cell_angle_gamma 17.17
_space_group_name_H-M_alt 'P 1'
_space_group_IT_number 1
loop_
_space_group_symop_operation_xyz
'x,y,z'
loop_
_atom_site_label
_atom_site_type_symbol
_atom_site_fract_x
_atom_site_fract_y
_atom_site_fract_z
Ca1 Ca 0.752 0.752 0.752
Re1 Re 0.249 0.249 0.249
Re2 Re 0.991 0.991 0.991
Ru1 Ru 0.508 0.508 0.508
```